A plane-wave DFT calculation with PBE-GGA was carried out for a relaxed Sr2Cu2Ag crystal.

## Properties
As for the space group: P4/mbm. The value obtained for the energy of formation is -0.0921 eV/atom.

Structure (extended XYZ):
```
10
Lattice="7.776 0.000 0.000 0.000 7.776 0.000 0.000 0.000 4.251" Properties=species:S:1:pos:R:3 pbc="T T T"
Ag 3.888 3.888 0.000
Ag 0.000 0.000 0.000
Cu 3.012 6.900 0.000
Cu 4.764 0.876 0.000
Cu 0.876 3.012 0.000
Cu 6.900 4.764 0.000
Sr 1.414 5.302 2.125
Sr 2.474 1.414 2.125
Sr 6.362 2.474 2.125
Sr 5.302 6.362 2.125
```